(a)
A plane-wave DFT calculation with PBE was carried out for a relaxed structure of PmHfBe.

## Properties
SG = F-43m, No. 216
Volume = 74 Å³ per cell

a = 4.7151 Å, b = 4.7151 Å, c = 4.7151 Å
α = 60.00°, β = 60.00°, γ = 60.00°
Fractional coordinates of all 3 atoms:
Hf 0.7500 0.7500 0.7500
Be 0.2500 0.2500 0.2500
Pm 0.0000 0.0000 0.0000



(b)
A plane-wave DFT calculation with PBE was carried out for a relaxed structure of PmHfBe.

## Properties
SG = F-43m, No. 216
Volume = 70 Å³ per cell

a = 4.6313 Å, b = 4.6313 Å, c = 4.6313 Å
α = 60.00°, β = 60.00°, γ = 60.00°
Fractional coordinates of all 3 atoms:
Pm 0.7500 0.7500 0.7500
Hf 0.0000 0.0000 0.0000
Be 0.2500 0.2500 0.2500



Which structure above is the least stable one? (a) is the least stable one.